[1]
First-principles (PBE) data for a relaxed structure of Er4TmCu2, as listed in Alexandria via LeMat-Bulk. Values from VASP.

energy of formation from the pure elements	0.146	eV/atom
spin magnetization	0.000	μB/atom
space group	R-3m (166)

Cell and atoms, written as Quantum ESPRESSO input:
```
&SYSTEM
  ibrav = 0, nat = 7, ntyp = 3
/
ATOMIC_SPECIES
Er 167.26 Er.upf
Tm 168.93 Tm.upf
Cu 63.55 Cu.upf
ATOMIC_POSITIONS crystal
Er 0.099 0.099 0.099
Er 0.299 0.299 0.299
Er 0.701 0.701 0.701
Er 0.901 0.901 0.901
Tm 0.500 0.500 0.500
Cu 0.400 0.400 0.400
Cu 0.600 0.600 0.600
CELL_PARAMETERS angstrom
2.418 1.396 9.464
-2.418 1.396 9.464
0.000 -2.793 9.464
```

---

[2]
First-principles (PBE) data for a relaxed structure of ErTm4Cu2, as listed in Alexandria via LeMat-Bulk. Values from VASP.

energy of formation from the pure elements	0.137	eV/atom
spin magnetization	0.000	μB/atom
space group	R-3m (166)

Cell and atoms, written as Quantum ESPRESSO input:
```
&SYSTEM
  ibrav = 0, nat = 7, ntyp = 3
/
ATOMIC_SPECIES
Er 167.26 Er.upf
Tm 168.93 Tm.upf
Cu 63.55 Cu.upf
ATOMIC_POSITIONS crystal
Er 0.000 0.000 0.000
Tm 0.201 0.201 0.201
Tm 0.402 0.402 0.402
Tm 0.598 0.598 0.598
Tm 0.799 0.799 0.799
Cu 0.101 0.101 0.101
Cu 0.899 0.899 0.899
CELL_PARAMETERS angstrom
2.390 1.380 9.610
-2.390 1.380 9.610
0.000 -2.760 9.610
```

---

[3]
First-principles (PBE) data for a relaxed structure of Er2TmCu, as listed in Alexandria via LeMat-Bulk. Values from VASP.

energy of formation from the pure elements	-0.072	eV/atom
polymorph energy (0 for the lowest one)	51	meV/atom
spin magnetization	0.008	μB/atom
space group	P2_1/m (11)

Cell and atoms, written as Quantum ESPRESSO input:
```
&SYSTEM
  ibrav = 0, nat = 8, ntyp = 3
/
ATOMIC_SPECIES
Er 167.26 Er.upf
Tm 168.93 Tm.upf
Cu 63.55 Cu.upf
ATOMIC_POSITIONS crystal
Er 0.148 0.034 0.296
Er 0.148 0.466 0.296
Er 0.852 0.534 0.704
Er 0.852 0.966 0.704
Tm 0.455 0.250 0.911
Tm 0.545 0.750 0.089
Cu 0.298 0.750 0.595
Cu 0.702 0.250 0.405
CELL_PARAMETERS angstrom
4.837 0.000 0.000
0.000 7.534 0.000
-2.411 0.000 5.687
```

---

[4]
First-principles (PBE) data for a relaxed structure of Er2TmCu2, as listed in Alexandria via LeMat-Bulk. Values from VASP.

energy of formation from the pure elements	-0.192	eV/atom
polymorph energy (0 for the lowest one)	0	meV/atom
spin magnetization	0.000	μB/atom
space group	P2_1/m (11)

Cell and atoms, written as Quantum ESPRESSO input:
```
&SYSTEM
  ibrav = 0, nat = 10, ntyp = 3
/
ATOMIC_SPECIES
Er 167.26 Er.upf
Tm 168.93 Tm.upf
Cu 63.55 Cu.upf
ATOMIC_POSITIONS crystal
Er 0.047 0.250 0.093
Er 0.230 0.250 0.459
Er 0.770 0.750 0.541
Er 0.953 0.750 0.907
Tm 0.142 0.750 0.283
Tm 0.858 0.250 0.717
Cu 0.359 0.750 0.720
Cu 0.452 0.250 0.907
Cu 0.548 0.750 0.093
Cu 0.641 0.250 0.280
CELL_PARAMETERS angstrom
3.455 0.000 0.000
0.000 4.998 0.000
-1.724 0.000 12.849
```